Record 1
## La3Sm4Y4 (GGA-PBE)

Data for crystalline La3Sm4Y4 at its relaxed geometry.

```
La3Sm4Y4
1.0
-1.808 5.703 9.390
1.808 -5.703 9.390
1.808 5.703 -9.390
La Sm Y
3 4 4
Cartesian
0.000 0.000 0.000 La
1.808 0.000 7.350 La
0.000 5.703 2.040 La
0.000 0.000 4.113 Sm
1.808 3.330 0.000 Sm
0.000 2.373 9.390 Sm
0.000 0.000 14.667 Sm
1.808 2.750 -3.222 Y
1.808 2.750 3.222 Y
0.000 2.953 6.168 Y
0.000 2.953 12.612 Y
```

The energy of formation from the pure elements comes out at 0.158 eV per atom. As for the crystal system: orthorhombic. Its uncorrected energy is -57.78 eV per cell.

Record 2
## MnAlAsSe2 (GGA-PBE)

Data for crystalline MnAlAsSe2 at its relaxed geometry.

```
MnAlAsSe2
1.0
4.832 0.000 0.000
0.000 4.832 0.000
0.000 0.000 4.488
Mn Al As Se
1 1 1 2
Cartesian
0.000 0.000 0.000 Mn
2.416 2.416 2.244 Al
0.000 0.000 2.244 As
0.000 2.416 0.000 Se
2.416 0.000 0.000 Se
```

Its formation energy without anion corrections is 0.380 eV per atom. As for the crystal system: tetragonal. Its uncorrected energy is -22.63 eV per cell.

Record 3
## La2NdBi (GGA-PBE)

Data for crystalline La2NdBi at its relaxed geometry.

```
La2NdBi
1.0
4.357 0.000 0.000
0.000 4.357 0.000
0.000 0.000 7.213
La Nd Bi
2 1 1
Cartesian
0.000 0.000 1.589 La
0.000 0.000 5.624 La
2.178 2.178 3.607 Nd
2.178 2.178 0.000 Bi
```

The energy of formation from the pure elements comes out at -0.428 eV per atom. As for the crystal system: tetragonal. Its uncorrected energy is -20.21 eV per cell.

Record 4
## Ni2HgMo2 (GGA-PBE)

Data for crystalline Ni2HgMo2 at its relaxed geometry.

```
Ni2HgMo2
1.0
7.378 0.000 0.000
0.000 7.378 0.000
0.000 0.000 2.732
Ni Hg Mo
4 2 4
Cartesian
0.878 2.811 0.000 Ni
2.811 6.500 0.000 Ni
4.567 0.878 0.000 Ni
6.500 4.567 0.000 Ni
0.000 0.000 0.000 Hg
3.689 3.689 0.000 Hg
1.266 4.955 1.366 Mo
2.423 1.266 1.366 Mo
4.955 6.112 1.366 Mo
6.112 2.423 1.366 Mo
```

The energy of formation from the pure elements comes out at 0.289 eV per atom. As for the crystal system: tetragonal. Its uncorrected energy is -64.16 eV per cell.

Record 5
## NaHNF2 (GGA-PBE)

Data for crystalline NaHNF2 at its relaxed geometry.

```
NaHNF2
1.0
4.161 0.000 0.000
0.000 4.161 0.000
0.000 0.000 2.627
Na H N F
1 1 1 2
Cartesian
0.000 0.000 0.000 Na
2.081 2.081 1.313 H
2.081 2.081 0.000 N
0.000 2.081 1.313 F
2.081 0.000 1.313 F
```

As for the crystal system: tetragonal. Its uncorrected energy is -18.30 eV per cell.

Record 6
## Zn2Ag2Pt (GGA-PBE)

Data for crystalline Zn2Ag2Pt at its relaxed geometry.

```
Zn2Ag2Pt
1.0
6.622 0.000 0.000
0.000 6.622 0.000
0.000 0.000 3.788
Zn Ag Pt
4 4 2
Cartesian
0.912 2.399 0.000 Zn
2.399 5.710 0.000 Zn
4.223 0.912 0.000 Zn
5.710 4.223 0.000 Zn
1.091 4.402 1.894 Ag
2.220 1.091 1.894 Ag
4.402 5.531 1.894 Ag
5.531 2.220 1.894 Ag
0.000 0.000 0.000 Pt
3.311 3.311 0.000 Pt
```

The energy of formation from the pure elements comes out at -0.054 eV per atom. As for the crystal system: tetragonal. Its uncorrected energy is -29.12 eV per cell.

Question: Which of these has the lowest uncorrected energy?
Answer: Ni2HgMo2

Please write out number 3 again, unchanged.
## La2NdBi (GGA-PBE)

Data for crystalline La2NdBi at its relaxed geometry.

```
La2NdBi
1.0
4.357 0.000 0.000
0.000 4.357 0.000
0.000 0.000 7.213
La Nd Bi
2 1 1
Cartesian
0.000 0.000 1.589 La
0.000 0.000 5.624 La
2.178 2.178 3.607 Nd
2.178 2.178 0.000 Bi
```

The energy of formation from the pure elements comes out at -0.428 eV per atom. As for the crystal system: tetragonal. Its uncorrected energy is -20.21 eV per cell.

Question: Which of these has the highest uncorrected energy?
Answer: NaHNF2